(1)
# CeB2TeO8

CeB2TeO8 after structural relaxation (PBE-GGA, the Alexandria database).

Cell lengths 4.897, 4.897, 6.692 Å; angles 90.00, 90.00, 120.00 degrees
Fractional positions:
O: 0.335 0.167 0.196
O: 0.833 0.665 0.196
O: 0.665 0.833 0.804
B: 0.333 0.667 0.737
O: 0.667 0.333 0.475
Ce: 0.000 0.000 0.500
O: 0.167 0.335 0.804
O: 0.833 0.167 0.196
O: 0.167 0.833 0.804
B: 0.667 0.333 0.263
O: 0.333 0.667 0.525
Te: 0.000 0.000 0.000

**Total DFT energy (no corrections)**: -85.4 eV/cell
**Crystal system**: trigonal
**ΔE_f (raw)**: -1.94 eV/atom

=====

(2)
# CeThB2O8

CeThB2O8 after structural relaxation (PBE-GGA, the Alexandria database).

Cell lengths 4.730, 4.730, 6.688 Å; angles 110.71, 110.71, 90.00 degrees
Each line ends with the local moment (μB).
Fractional positions:
O: 0.671 0.813 0.140  0.23
B: 0.250 0.750 0.500  -0.02
O: 0.673 0.329 0.860  0.23
O: 0.187 0.532 0.860  0.23
Ce: 0.750 0.250 0.500  -0.09
O: 0.291 0.925 0.364  0.24
O: 0.468 0.327 0.140  0.23
O: 0.561 0.709 0.636  0.24
B: 0.500 0.500 0.000  -0.02
O: 0.073 0.439 0.364  0.24
Th: 0.000 0.000 0.000  -0.02
O: 0.075 0.927 0.636  0.24

**D(E_F)**: 0.366 states/eV/atom
**Total DFT energy (no corrections)**: -97.3 eV/cell
**Crystal system**: tetragonal
**ΔE_f (raw)**: -2.58 eV/atom

=====

(3)
# CeTl2B2O6

CeTl2B2O6 after structural relaxation (PBE-GGA, the Alexandria database).

Cell lengths 5.554, 5.554, 7.350 Å; angles 67.80, 67.80, 60.00 degrees
Fractional positions:
O: 0.311 0.743 0.203
Tl: 0.213 0.213 0.362
Tl: 0.787 0.787 0.638
B: 0.401 0.401 0.798
O: 0.743 0.311 0.203
O: 0.257 0.257 0.797
Ce: 0.000 0.000 0.000
O: 0.743 0.743 0.203
B: 0.599 0.599 0.202
O: 0.689 0.257 0.797
O: 0.257 0.689 0.797

**Total DFT energy (no corrections)**: -78.5 eV/cell
**Crystal system**: trigonal
**ΔE_f (raw)**: -2.24 eV/atom

=====

(4)
# CeTm3B4O12

CeTm3B4O12 after structural relaxation (PBE-GGA, the Alexandria database).

Cell lengths 6.484, 6.484, 6.484 Å; angles 102.57, 102.57, 102.57 degrees
Each line ends with the local moment (μB).
Fractional positions:
B: 0.040 0.500 0.960  0.00
Tm: 0.461 0.000 0.539  0.00
O: 0.500 0.363 0.637  0.00
O: 0.904 0.500 0.096  0.00
B: 0.500 0.960 0.040  0.00
O: 0.817 0.028 0.631  0.00
Tm: 0.000 0.539 0.461  0.00
O: 0.183 0.369 0.972  0.00
O: 0.096 0.904 0.500  0.00
B: 0.960 0.040 0.500  0.00
O: 0.028 0.631 0.817  0.00
Tm: 0.539 0.461 0.000  0.00
Ce: 0.000 0.000 0.000  0.98
O: 0.369 0.972 0.183  0.00
B: 0.500 0.500 0.500  0.00
O: 0.500 0.096 0.904  0.00
O: 0.631 0.817 0.028  0.00
O: 0.972 0.183 0.369  0.00
O: 0.637 0.500 0.363  0.00
O: 0.363 0.637 0.500  0.00

**D(E_F)**: 0.469 states/eV/atom
**Total DFT energy (no corrections)**: -167.3 eV/cell
**Crystal system**: trigonal
**ΔE_f (raw)**: -3.09 eV/atom

=====

(5)
# CeUB2O8

CeUB2O8 after structural relaxation (PBE-GGA, the Alexandria database).

Cell lengths 4.641, 4.641, 6.503 Å; angles 110.90, 110.90, 90.00 degrees
Fractional positions:
O: 0.085 0.951 0.647
B: 0.250 0.750 0.500
B: 0.500 0.500 0.000
O: 0.680 0.290 0.873
O: 0.194 0.584 0.873
O: 0.049 0.438 0.353
O: 0.416 0.320 0.127
O: 0.562 0.696 0.647
Ce: 0.750 0.250 0.500
O: 0.710 0.806 0.127
U: 0.000 0.000 0.000
O: 0.304 0.915 0.353

**Total DFT energy (no corrections)**: -102.1 eV/cell
**Crystal system**: tetragonal
**ΔE_f (raw)**: -2.66 eV/atom